No. 1
# LaH8Rh2, optimized geometry, DFT PBE
data_LaH8Rh2
_chemical_formula_sum 'La2 H16 Rh4'
_cell_length_a 5.201
_cell_length_b 8.657
_cell_length_c 3.893
_cell_angle_alpha 90.00
_cell_angle_beta 90.14
_cell_angle_gamma 90.00
_space_group_name_H-M_alt 'C 1 2/m 1'
_space_group_IT_number 12
_space_group_name_Hall '-C 2y'
loop_
_atom_site_label
_atom_site_type_symbol
_atom_site_fract_x
_atom_site_fract_y
_atom_site_fract_z
La1 La 0.000 0.000 0.000
H1 H 0.000 0.309 0.000
H2 H 0.003 0.500 0.745
H3 H 0.170 0.145 0.501
Rh1 Rh 0.000 0.329 0.500
# **Final energy**: -4.49 eV/atom
# **Spin magnetization**: 0.00 μB per formula unit

No. 2
# Li2OsCl, optimized geometry, DFT PBE
data_Li2OsCl
_chemical_formula_sum 'Li2 Os1 Cl1'
_cell_length_a 2.861
_cell_length_b 4.232
_cell_length_c 4.770
_cell_angle_alpha 90.00
_cell_angle_beta 90.00
_cell_angle_gamma 90.00
_space_group_name_H-M_alt 'P m m m'
_space_group_IT_number 47
_space_group_name_Hall '-P 2 2'
loop_
_atom_site_label
_atom_site_type_symbol
_atom_site_fract_x
_atom_site_fract_y
_atom_site_fract_z
Li1 Li 0.000 0.000 0.000
Li2 Li 0.500 0.000 0.500
Os1 Os 0.000 0.500 0.500
Cl1 Cl 0.500 0.500 0.000
# **Final energy**: -3.85 eV/atom
# **Spin magnetization**: 0.00 μB per formula unit

No. 3
# AcZnNi, optimized geometry, DFT PBE
data_AcZnNi
_chemical_formula_sum 'Ac2 Zn2 Ni2'
_cell_length_a 4.052
_cell_length_b 4.052
_cell_length_c 8.851
_cell_angle_alpha 90.00
_cell_angle_beta 90.00
_cell_angle_gamma 90.00
_space_group_name_H-M_alt 'I 4 m m'
_space_group_IT_number 107
_space_group_name_Hall 'I 4 -2'
loop_
_atom_site_label
_atom_site_type_symbol
_atom_site_fract_x
_atom_site_fract_y
_atom_site_fract_z
Ac1 Ac 0.000 0.000 0.000
Zn1 Zn 0.000 0.000 0.341
Ni1 Ni 0.000 0.000 0.630
# **Final energy**: -3.70 eV/atom
# **Energy relative to the elements**: 2.01 kJ/mol of atoms
# **Spin magnetization**: 0.00 μB per formula unit

What did the second record say?
# Li2OsCl, optimized geometry, DFT PBE
data_Li2OsCl
_chemical_formula_sum 'Li2 Os1 Cl1'
_cell_length_a 2.861
_cell_length_b 4.232
_cell_length_c 4.770
_cell_angle_alpha 90.00
_cell_angle_beta 90.00
_cell_angle_gamma 90.00
_space_group_name_H-M_alt 'P m m m'
_space_group_IT_number 47
_space_group_name_Hall '-P 2 2'
loop_
_atom_site_label
_atom_site_type_symbol
_atom_site_fract_x
_atom_site_fract_y
_atom_site_fract_z
Li1 Li 0.000 0.000 0.000
Li2 Li 0.500 0.000 0.500
Os1 Os 0.000 0.500 0.500
Cl1 Cl 0.500 0.500 0.000
# **Final energy**: -3.85 eV/atom
# **Spin magnetization**: 0.00 μB per formula unit